Arrangement A

Below is crystalline Cd5Au4 at its relaxed geometry, with properties calculated at the PBE level.

Properties
Size of the total moment = 0.000 μB per atom
D(E_F) = 5.14 states/eV/cell

Lattice parameters (Å, degrees): 8.949 8.949 4.414 90.00 90.00 90.00
Space group I4/mmm (No. 139)
Asymmetric unit:
Cd 0.000 0.000 0.000 (multiplicity 2)
Cd 0.170 0.170 0.500 (multiplicity 8)
Au 0.000 0.332 0.000 (multiplicity 8)

***

Arrangement B

Below is crystalline Cd5Au4 at its relaxed geometry, with properties calculated at the PBE level.

Properties
Size of the total moment = 0.000 μB per atom
D(E_F) = 6.09 states/eV/cell

Lattice parameters (Å, degrees): 8.4792 8.4792 5.7826 90.00 90.00 120.00
Space group P6_3/mcm (No. 193)
Asymmetric unit:
Cd 0.0000 0.2928 0.2500 (multiplicity 6)
Cd 0.3333 0.6667 0.0000 (multiplicity 4)
Au 0.0000 0.0000 0.0000 (multiplicity 2)
Au 0.0000 0.3755 0.7500 (multiplicity 6)

***

What should be chosen as the least stable of them? Choose arrangement A.

***

Arrangement A

Below is crystalline CeCd3Au3 at its relaxed geometry, with properties calculated at the PBE level.

Properties
Size of the total moment = 0.127 μB per atom
D(E_F) = 16.73 states/eV/cell

Lattice parameters (Å, degrees): 8.557 4.841 8.568 90.00 119.93 90.00
Space group P2_1/m (No. 11)
Asymmetric unit:
Ce 0.167 0.250 0.333 (multiplicity 2)
Cd 0.270 0.250 0.989 (multiplicity 2)
Cd 0.280 0.750 0.770 (multiplicity 2)
Cd 0.490 0.750 0.220 (multiplicity 2)
Au 0.033 0.250 0.611 (multiplicity 2)
Au 0.111 0.750 0.077 (multiplicity 2)
Au 0.422 0.750 0.533 (multiplicity 2)

***

Arrangement B

Below is crystalline CeCd3Au3 at its relaxed geometry, with properties calculated at the PBE level.

Properties
Size of the total moment = 0.121 μB per atom
D(E_F) = 49.35 states/eV/cell

Lattice parameters (Å, degrees): 8.3004 8.3004 17.1190 90.00 90.00 120.00
Space group R-3 (No. 148, hexagonal axes)
Asymmetric unit:
Ce 0.0000 0.0000 0.1658 (multiplicity 6)
Cd 0.0009 0.6706 0.0426 (multiplicity 18)
Au 0.0028 0.2931 0.4527 (multiplicity 18)

***

What should be chosen as the least stable of them? Choose arrangement B.

***

Arrangement A

Below is crystalline CeCd4Au2 at its relaxed geometry, with properties calculated at the PBE level.

Properties
Size of the total moment = 0.141 μB per atom
D(E_F) = 19.57 states/eV/cell

Lattice parameters (Å, degrees): 4.292 17.956 4.208 90.00 90.00 90.00
Space group Cmmm (No. 65)
Asymmetric unit:
Ce 0.000 0.000 0.000 (multiplicity 2)
Cd 0.000 0.180 0.500 (multiplicity 4)
Cd 0.000 0.315 0.000 (multiplicity 4)
Au 0.000 0.425 0.500 (multiplicity 4)

***

Arrangement B

Below is crystalline CeCd4Au2 at its relaxed geometry, with properties calculated at the PBE level.

Properties
Size of the total moment = 0.149 μB per atom
D(E_F) = 18.63 states/eV/cell

Lattice parameters (Å, degrees): 8.608 8.608 4.390 90.00 90.00 90.00
Space group P4_2/mnm (No. 136)
Asymmetric unit:
Ce 0.000 0.000 0.000 (multiplicity 2)
Cd 0.100 0.347 0.500 (multiplicity 8)
Au 0.181 0.819 0.500 (multiplicity 4)

***

What should be chosen as the least stable of them? Choose arrangement A.

***

Arrangement A

Below is crystalline Ce3Cd4Au4 at its relaxed geometry, with properties calculated at the PBE level.

Properties
Size of the total moment = 0.241 μB per atom
D(E_F) = 38.53 states/eV/cell

Lattice parameters (Å, degrees): 9.433 4.821 11.338 90.00 90.00 90.00
Space group Amm2 (No. 38)
Asymmetric unit:
Ce 0.000 0.000 0.000 (multiplicity 2)
Ce 0.283 0.000 0.148 (multiplicity 4)
Cd 0.000 0.000 0.305 (multiplicity 2)
Cd 0.291 0.000 0.846 (multiplicity 4)
Cd 0.500 0.000 0.399 (multiplicity 2)
Au 0.000 0.000 0.676 (multiplicity 2)
Au 0.219 0.000 0.482 (multiplicity 4)
Au 0.500 0.000 0.662 (multiplicity 2)

***

Arrangement B

Below is crystalline Ce3Cd4Au4 at its relaxed geometry, with properties calculated at the PBE level.

Properties
Size of the total moment = 0.281 μB per atom
D(E_F) = 46.54 states/eV/cell

Lattice parameters (Å, degrees): 4.218 8.185 15.434 90.00 90.00 90.00
Space group Immm (No. 71)
Asymmetric unit:
Ce 0.000 0.000 0.000 (multiplicity 2)
Ce 0.000 0.500 0.118 (multiplicity 4)
Cd 0.000 0.308 0.329 (multiplicity 8)
Au 0.000 0.000 0.235 (multiplicity 4)
Au 0.000 0.189 0.500 (multiplicity 4)

***

What should be chosen as the least stable of them? Choose arrangement A.

***

Arrangement A

Below is crystalline Ce2CdAu6 at its relaxed geometry, with properties calculated at the PBE level.

Properties
Size of the total moment = 0.229 μB per atom
D(E_F) = 32.46 states/eV/cell

Lattice parameters (Å, degrees): 11.280 6.507 5.536 90.00 90.01 90.00
Space group C2/m (No. 12)
Asymmetric unit:
Ce 0.167 0.000 0.173 (multiplicity 4)
Cd 0.000 0.500 0.000 (multiplicity 2)
Au 0.094 0.220 0.678 (multiplicity 8)
Au 0.187 0.500 0.321 (multiplicity 4)

***

Arrangement B

Below is crystalline Ce2CdAu6 at its relaxed geometry, with properties calculated at the PBE level.

Properties
Size of the total moment = 0.245 μB per atom
D(E_F) = 30.36 states/eV/cell

Lattice parameters (Å, degrees): 14.402 8.320 3.309 90.00 90.12 90.00
Space group C2/m (No. 12)
Asymmetric unit:
Ce 0.167 0.000 0.000 (multiplicity 4)
Cd 0.000 0.500 0.000 (multiplicity 2)
Au 0.000 0.169 0.500 (multiplicity 4)
Au 0.166 0.334 0.499 (multiplicity 8)

***

What should be chosen as the least stable of them? Choose arrangement B.